Record 1
This record from the Alexandria database describes a geometry-optimized Zn2CrFe structure. The functional is PBE.

a b c (Å): 2.521 4.114 4.915
angles (deg): 90.00 97.13 90.00
Element x y z (fractional)
Zn: 0.000 0.000 0.000
Zn: 0.161 0.500 0.737
Cr: 0.644 0.500 0.258
Fe: 0.494 0.000 0.478

E_tot ... -5.02 eV per atom
ρ ... 7835 kg/m3
Polymorph energy (0 for the lowest one) ... 0.074 eV/atom
E_form ... 0.138 eV/atom

=====

Record 2
This record from the Alexandria database describes a geometry-optimized Zr2CrFe structure. The functional is PBE.

a b c (Å): 5.496 5.496 5.496
angles (deg): 146.17 133.07 59.09
Element x y z (fractional)
Zr: 0.000 0.000 0.000
Zr: 0.732 0.232 0.500
Cr: 0.263 0.763 0.500
Fe: 0.474 0.474 0.000

E_tot ... -8.68 eV per atom
ρ ... 7205 kg/m3
E_form ... 0.112 eV/atom

=====

Record 3
This record from the Alexandria database describes a geometry-optimized ZrCrFe2 structure. The functional is PBE.

a b c (Å): 4.252 4.252 3.035
angles (deg): 90.00 90.00 90.00
Element x y z (fractional)
Zr: 0.000 0.000 0.000
Cr: 0.500 0.500 0.000
Fe: 0.000 0.500 0.500
Fe: 0.500 0.000 0.500

E_tot ... -8.61 eV per atom
ρ ... 7714 kg/m3
Polymorph energy (0 for the lowest one) ... 0.097 eV/atom
E_form ... 0.167 eV/atom

=====

Record 4
This record from the Alexandria database describes a geometry-optimized ZrCrFe2 structure. The functional is PBE.

a b c (Å): 5.038 5.038 4.309
angles (deg): 115.24 115.24 35.21
Element x y z (fractional)
Zr: 0.000 0.000 0.000
Cr: 0.237 0.237 0.736
Fe: 0.507 0.507 0.506
Fe: 0.766 0.766 0.266

E_tot ... -8.58 eV per atom
ρ ... 7506 kg/m3
Polymorph energy (0 for the lowest one) ... 0.120 eV/atom
E_form ... 0.190 eV/atom